The following is a PBE-GGA calculation of a geometry-optimized Nd4Dy5Mg2 structure, from Alexandria.

Geometry as CIF:
```
data_Nd4Dy5Mg2
_chemical_formula_sum 'Nd4 Dy5 Mg2'
_symmetry_space_group_name_H-M 'P -1'
_symmetry_Int_Tables_number 2
_cell_length_a 3.640
_cell_length_b 8.849
_cell_length_c 11.546
_cell_angle_alpha 97.19
_cell_angle_beta 98.91
_cell_angle_gamma 101.86
loop_
_symmetry_equiv_pos_as_xyz
'x,y,z'
'-x,-y,-z'
loop_
_atom_site_label
_atom_site_type_symbol
_atom_site_fract_x
_atom_site_fract_y
_atom_site_fract_z
_atom_site_occupancy
Nd1 Nd 0.020 0.258 0.282 1
Nd2 Nd 0.318 0.901 0.232 1
Dy1 Dy 0.000 0.000 0.500 1
Dy2 Dy 0.291 0.643 0.437 1
Dy3 Dy 0.390 0.451 0.836 1
Mg1 Mg 0.342 0.164 0.024 1
```

Properties
For the calculated formation energy, the calculation gives 0.042 eV per atom.